Entry 1:
Compound: Sc4In3Mo2C3
Source: OQMD via LeMat-Bulk
Functional: GGA-PBE
Structure: relaxed

Cell lengths 5.6577, 5.6578, 14.8755 Å; angles 100.77, 90.31, 119.61 degrees
Last column: nearest neighbours and their distance in Å.
Fractional coordinates of all 24 atoms:
1 C 0.3417 0.1837 0.0000  2 Mo 2.10-2.11, 4 Sc 2.28
2 C 0.0000 0.5000 0.0000  2 Mo 2.09, 4 Sc 2.28-2.29
3 C 0.6583 0.8163 0.0000  2 Mo 2.10-2.11, 4 Sc 2.28
4 C 0.8163 0.1582 0.4999  2 Mo 2.10-2.11, 4 Sc 2.28
5 C 0.5000 0.5000 0.5000  2 Mo 2.09, 4 Sc 2.28-2.29
6 C 0.1837 0.8418 0.5001  2 Mo 2.10-2.11, 4 Sc 2.28
7 In 0.7259 0.6678 0.2480  2 In 3.01, 4 Sc 3.09-3.11, 2 Mo 3.14-3.16
8 In 0.1146 0.3646 0.2500  2 In 3.01, 4 Sc 3.08-3.09, 2 Mo 3.12
9 In 0.4198 0.9779 0.2520  2 In 3.01, 4 Sc 3.09-3.11, 2 Mo 3.14-3.16
10 In 0.5802 0.0221 0.7480  2 In 3.01, 4 Sc 3.09-3.11, 2 Mo 3.14-3.16
11 In 0.8854 0.6354 0.7500  2 In 3.01, 4 Sc 3.08-3.09, 2 Mo 3.12
12 In 0.2741 0.3322 0.7520  2 In 3.01, 4 Sc 3.09-3.11, 2 Mo 3.14-3.16
13 Mo 0.3480 0.5467 0.0698  3 C 2.09-2.11
14 Mo 0.4769 0.7782 0.4302  3 C 2.09-2.11
15 Mo 0.5231 0.2218 0.5698  3 C 2.09-2.11
16 Mo 0.6520 0.4533 0.9302  3 C 2.09-2.11
17 Sc 0.0388 0.8999 0.0855  3 C 2.28
18 Sc 0.6949 0.2137 0.0857  3 C 2.28-2.29
19 Sc 0.1281 0.1092 0.4143  3 C 2.28-2.29
20 Sc 0.8144 0.4533 0.4145  3 C 2.28
21 Sc 0.1856 0.5467 0.5855  3 C 2.28
22 Sc 0.8719 0.8908 0.5857  3 C 2.28-2.29
23 Sc 0.3051 0.7863 0.9143  3 C 2.28-2.29
24 Sc 0.9612 0.1001 0.9145  3 C 2.28

Properties
For the final energy, the calculation gives -7.394 eV/atom. As for the space group: C2/c. The density comes out at 6.2 g cm⁻³.


Entry 2:
Compound: NaScGa4Pt2
Source: OQMD via LeMat-Bulk
Functional: GGA-PBE
Structure: relaxed

Cell lengths 6.7805, 5.3607, 5.3607 Å; angles 46.46, 90.00, 90.00 degrees
Last column: nearest neighbours and their distance in Å.
Fractional coordinates of all 8 atoms:
1 Ga 0.2004 0.3669 0.3669  3 Pt 2.58-2.61, 2 Ga 2.71-2.72
2 Ga 0.7996 0.3669 0.3669  3 Pt 2.58-2.61, 2 Ga 2.71-2.72
3 Ga 0.2993 0.6332 0.6332  3 Pt 2.58-2.61, 2 Ga 2.71-2.72
4 Ga 0.7007 0.6332 0.6332  3 Pt 2.58-2.61, 2 Ga 2.71-2.72
5 Na 0.0000 0.0792 0.0792  3 Pt 2.80-3.00, 4 Ga 2.98
6 Pt 0.5000 0.2052 0.2052  6 Ga 2.58-2.61, 1 Sc 2.81
7 Pt 0.0000 0.7954 0.7954  6 Ga 2.58-2.61, 1 Na 2.80
8 Sc 0.5000 0.9202 0.9202  3 Pt 2.81-2.99, 6 Ga 2.98-3.14

Properties
For the final energy, the calculation gives -4.632 eV/atom. As for the space group: Amm2. The density comes out at 8.7 g cm⁻³.


Entry 3:
Compound: PrTaO3
Source: OQMD via LeMat-Bulk
Functional: GGA-PBE
Structure: relaxed

Cell lengths 5.6688, 5.6688, 6.0707 Å; angles 62.17, 62.17, 60.00 degrees
Last column: nearest neighbours and their distance in Å.
Fractional coordinates of all 10 atoms:
1 O 0.9447 0.5693 0.2847  2 Ta 2.07-2.14
2 O 0.2013 0.9447 0.2847  2 Ta 2.07-2.14
3 O 0.5693 0.2013 0.2847  2 Ta 2.07-2.14
4 O 0.4307 0.7987 0.7153  2 Ta 2.07-2.14
5 O 0.7987 0.0553 0.7153  2 Ta 2.07-2.14
6 O 0.0553 0.4307 0.7153  2 Ta 2.07-2.14
7 Pr 0.6442 0.6442 0.0675  6 O 2.38-2.53
8 Pr 0.3558 0.3558 0.9325  6 O 2.38-2.53
9 Ta 0.8392 0.8392 0.4824  6 O 2.07-2.14
10 Ta 0.1608 0.1608 0.5176  6 O 2.07-2.14

Properties
For the final energy, the calculation gives -8.806 eV/atom. As for the space group: R-3. The density comes out at 8.6 g cm⁻³.


Entry 4:
Compound: PrNiHg
Source: OQMD via LeMat-Bulk
Functional: GGA-PBE
Structure: relaxed

Cell lengths 4.8299, 4.8299, 4.8299 Å; angles 60.00, 60.00, 60.00 degrees
Last column: nearest neighbours and their distance in Å.
Fractional coordinates of all 3 atoms:
1 Hg 0.0000 0.0000 0.0000  4 Pr 2.96, 4 Ni 2.96
2 Ni 0.2500 0.2500 0.2500  4 Hg 2.96
3 Pr 0.7500 0.7500 0.7500  4 Hg 2.96

Properties
The energy of formation is 0.1244 eV per atom. As for the space group: F-43m. The density comes out at 8.3 g cm⁻³.


Entry 5:
Compound: AlZnCdCo
Source: OQMD via LeMat-Bulk
Functional: GGA-PBE
Structure: relaxed

Cell lengths 4.3674, 4.3674, 4.3674 Å; angles 60.00, 60.00, 60.00 degrees
Last column: nearest neighbours and their distance in Å.
Fractional coordinates of all 4 atoms:
1 Al 0.0000 0.0000 0.0000  4 Cd 2.67, 4 Co 2.67
2 Cd 0.2500 0.2500 0.2500  4 Zn 2.67, 4 Al 2.67
3 Co 0.7500 0.7500 0.7500  4 Zn 2.67, 4 Al 2.67
4 Zn 0.5000 0.5000 0.5000  4 Cd 2.67, 4 Co 2.67

Properties
For the final energy, the calculation gives -3.148 eV/atom. As for the space group: F-43m. The density comes out at 7.4 g cm⁻³.


Entry 6:
Compound: Er4GeTe3
Source: OQMD via LeMat-Bulk
Functional: GGA-PBE
Structure: relaxed

Cell lengths 7.4465, 7.4465, 4.2526 Å; angles 90.00, 90.00, 109.14 degrees
Last column: nearest neighbours and their distance in Å.
Fractional coordinates of all 8 atoms:
1 Er 0.2222 0.2222 0.0000  2 Ge 2.86, 4 Te 3.04-3.21
2 Er 0.7778 0.7778 0.0000  2 Ge 2.86, 4 Te 3.04-3.21
3 Er 0.7674 0.2326 0.5000  1 Ge 2.82, 4 Te 3.04
4 Er 0.2326 0.7674 0.5000  1 Ge 2.82, 4 Te 3.04
5 Ge 0.0000 0.0000 0.5000  6 Er 2.82-2.86
6 Te 0.5000 0.0000 0.0000  6 Er 3.04
7 Te 0.0000 0.5000 0.0000  6 Er 3.04
8 Te 0.5000 0.5000 0.5000  6 Er 3.21-3.24

Properties
For the final energy, the calculation gives -5.273 eV/atom. As for the space group: Cmmm. The density comes out at 8.4 g cm⁻³.


Entry 7:
Compound: CuTe
Source: OQMD via LeMat-Bulk
Functional: GGA-PBE
Structure: relaxed

Cell lengths 3.2173, 4.0307, 7.3628 Å; angles 90.00, 90.00, 90.00 degrees
Last column: nearest neighbours and their distance in Å.
Fractional coordinates of all 4 atoms:
1 Cu 0.0000 0.5000 0.4641  4 Te 2.62-2.73, 4 Cu 2.63
2 Cu 0.5000 0.0000 0.5359  4 Te 2.62-2.73, 4 Cu 2.63
3 Te 0.0000 0.0000 0.2364  4 Cu 2.62-2.73
4 Te 0.5000 0.5000 0.7636  4 Cu 2.62-2.73

Properties
For the final energy, the calculation gives -3.501 eV/atom. As for the space group: Pmmn. The density comes out at 6.6 g cm⁻³.


Entry 8:
Compound: Co2CuHg
Source: OQMD via LeMat-Bulk
Functional: GGA-PBE
Structure: relaxed

Cell lengths 4.2618, 4.2618, 4.2618 Å; angles 60.00, 60.00, 60.00 degrees
Last column: nearest neighbours and their distance in Å.
Fractional coordinates of all 4 atoms:
1 Co 0.0000 0.0000 0.0000  4 Co 2.61, 4 Cu 2.61
2 Co 0.7500 0.7500 0.7500  4 Hg 2.61, 4 Co 2.61
3 Cu 0.2500 0.2500 0.2500  4 Hg 2.61, 4 Co 2.61
4 Hg 0.5000 0.5000 0.5000  4 Co 2.61, 4 Cu 2.61

Properties
The energy of formation is 0.4042 eV per atom. As for the space group: F-43m. The density comes out at 11.6 g cm⁻³.


Entry 9:
Compound: ZrAlGa2
Source: OQMD via LeMat-Bulk
Functional: GGA-PBE
Structure: relaxed

Cell lengths 5.3569, 5.3569, 5.3569 Å; angles 137.15, 137.15, 62.20 degrees
Last column: nearest neighbours and their distance in Å.
Fractional coordinates of all 4 atoms:
1 Al 0.0000 0.0000 0.0000  8 Ga 2.77-3.01, 4 Zr 3.01
2 Ga 0.5000 0.5000 0.0000  4 Al 2.77, 4 Zr 3.01, 4 Ga 3.01
3 Ga 0.7500 0.2500 0.5000  4 Zr 2.77, 4 Al 3.01, 4 Ga 3.01
4 Zr 0.2500 0.7500 0.5000  8 Ga 2.77-3.01, 4 Al 3.01

Properties
For the final energy, the calculation gives -5.083 eV/atom. As for the space group: I-4m2. The density comes out at 6.1 g cm⁻³.


Entry 10:
Compound: La3Zn2Au4
Source: OQMD via LeMat-Bulk
Functional: GGA-PBE
Structure: relaxed

Cell lengths 6.0268, 6.0268, 8.9686 Å; angles 111.61, 111.61, 45.71 degrees
Last column: nearest neighbours and their distance in Å.
Fractional coordinates of all 9 atoms:
1 Au 0.7153 0.7153 0.0657  1 Zn 2.63, 2 Au 2.86
2 Au 0.0707 0.0707 0.3932  2 Zn 2.65, 1 Au 2.92
3 Au 0.9293 0.9293 0.6068  2 Zn 2.65, 1 Au 2.92
4 Au 0.2847 0.2847 0.9343  1 Zn 2.63, 2 Au 2.86
5 La 0.0000 0.0000 0.0000  8 Au 3.23-3.44, 4 Zn 3.41
6 La 0.3423 0.3423 0.3248  8 Au 3.20-3.32, 4 Zn 3.26-3.28
7 La 0.6577 0.6577 0.6752  8 Au 3.20-3.32, 4 Zn 3.26-3.28
8 Zn 0.6273 0.6273 0.2982  3 Au 2.63-2.65
9 Zn 0.3727 0.3727 0.7018  3 Au 2.63-2.65

Properties
The energy of formation is -0.7473 eV per atom. As for the space group: C2/m. The density comes out at 10.4 g cm⁻³.


Entry 11:
Compound: NiCl
Source: OQMD via LeMat-Bulk
Functional: GGA-PBE
Structure: relaxed

Cell lengths 3.2745, 3.2745, 6.5204 Å; angles 90.00, 90.00, 120.00 degrees
Last column: nearest neighbours and their distance in Å.
Fractional coordinates of all 4 atoms:
1 Cl 0.0000 0.0000 0.0000  6 Ni 2.50
2 Cl 0.0000 0.0000 0.5000  6 Ni 2.50
3 Ni 0.6667 0.3333 0.2500  6 Cl 2.50
4 Ni 0.3333 0.6667 0.7500  6 Cl 2.50

Properties
For the final energy, the calculation gives -3.530 eV/atom. As for the space group: P6_3/mmc. The density comes out at 5.2 g cm⁻³.


Entry 12:
Compound: Sr2CuSb2Pd
Source: OQMD via LeMat-Bulk
Functional: GGA-PBE
Structure: relaxed

Cell lengths 4.5344, 4.5344, 9.1668 Å; angles 90.00, 90.00, 120.00 degrees
Last column: nearest neighbours and their distance in Å.
Fractional coordinates of all 6 atoms:
1 Cu 0.0000 0.0000 0.0000  3 Sb 2.62
2 Pd 0.6667 0.3333 0.5000  3 Sb 2.62
3 Sb 0.6667 0.3333 0.0000  3 Cu 2.62
4 Sb 0.0000 0.0000 0.5000  3 Pd 2.62
5 Sr 0.3333 0.6667 0.2527  3 Pd 3.46, 6 Sb 3.46-3.50, 3 Cu 3.50
6 Sr 0.3333 0.6667 0.7473  3 Pd 3.46, 6 Sb 3.46-3.50, 3 Cu 3.50

Properties
For the final energy, the calculation gives -4.237 eV/atom. As for the space group: P-6m2. The density comes out at 6.0 g cm⁻³.


Entry 13:
Compound: LaPrNF
Source: OQMD via LeMat-Bulk
Functional: GGA-PBE
Structure: relaxed

Cell lengths 3.5855, 3.5855, 12.8128 Å; angles 90.00, 90.00, 120.00 degrees
Last column: nearest neighbours and their distance in Å.
Fractional coordinates of all 8 atoms:
1 F 0.3333 0.6667 0.2555  3 Pr 2.72, 3 La 2.79
2 F 0.6667 0.3333 0.7445  3 Pr 2.72, 3 La 2.79
3 La 0.6667 0.3333 0.1093  3 N 2.50, 3 F 2.79
4 La 0.3333 0.6667 0.8907  3 N 2.50, 3 F 2.79
5 N 0.0000 0.0000 0.0000  6 La 2.50
6 N 0.0000 0.0000 0.5000  6 Pr 2.48
7 Pr 0.6667 0.3333 0.3931  3 N 2.48, 3 F 2.72
8 Pr 0.3333 0.6667 0.6069  3 N 2.48, 3 F 2.72

Properties
As for the space group: P-3m1. The density comes out at 7.3 g cm⁻³. The energy relative to the lowest polymorph listed for this composition comes out at 2 meV per atom.


Entry 14:
Compound: Ta4SbPN2
Source: OQMD via LeMat-Bulk
Functional: GGA-PBE
Structure: relaxed

Cell lengths 3.3071, 3.3071, 12.2581 Å; angles 90.00, 90.00, 120.00 degrees
Last column: nearest neighbours and their distance in Å.
Fractional coordinates of all 8 atoms:
1 N 0.3333 0.6667 0.2377  6 Ta 2.15-2.27
2 N 0.3333 0.6667 0.7623  6 Ta 2.15-2.27
3 P 0.6667 0.3333 0.0000  6 Ta 2.55
4 Sb 0.0000 0.0000 0.5000  6 Ta 2.93
5 Ta 0.0000 0.0000 0.1379  3 N 2.27
6 Ta 0.6667 0.3333 0.3188  3 N 2.15
7 Ta 0.6667 0.3333 0.6812  3 N 2.15
8 Ta 0.0000 0.0000 0.8621  3 N 2.27

Properties
For the final energy, the calculation gives -9.745 eV/atom. As for the space group: P-6m2. The density comes out at 12.9 g cm⁻³.


Entry 15:
Compound: HoInIr
Source: OQMD via LeMat-Bulk
Functional: GGA-PBE
Structure: relaxed

Cell lengths 4.6534, 4.6534, 4.6534 Å; angles 60.00, 60.00, 60.00 degrees
Last column: nearest neighbours and their distance in Å.
Fractional coordinates of all 3 atoms:
1 Ho 0.2500 0.2500 0.2500  4 In 2.85
2 In 0.0000 0.0000 0.0000  4 Ir 2.85, 4 Ho 2.85
3 Ir 0.7500 0.7500 0.7500  4 In 2.85

Properties
For the final energy, the calculation gives -5.355 eV/atom. As for the space group: F-43m. The density comes out at 11.0 g cm⁻³.


Entry 16:
Compound: HfInAuO3
Source: OQMD via LeMat-Bulk
Functional: GGA-PBE
Structure: relaxed

Cell lengths 10.4725, 3.2086, 10.4959 Å; angles 90.00, 90.00, 90.00 degrees
Last column: nearest neighbours and their distance in Å.
Fractional coordinates of all 24 atoms:
1 Au 0.4409 0.0000 0.0969  1 O 2.48, 2 In 2.76
2 Au 0.9409 0.5000 0.4032  1 O 2.48, 2 In 2.76
3 Au 0.0591 0.0000 0.5968  1 O 2.48, 2 In 2.76
4 Au 0.5591 0.5000 0.9032  1 O 2.48, 2 In 2.76
5 Hf 0.8640 0.0000 0.0282  6 O 1.98-2.17
6 Hf 0.3640 0.5000 0.4718  6 O 1.98-2.17
7 Hf 0.6360 0.0000 0.5282  6 O 1.98-2.17
8 Hf 0.1360 0.5000 0.9718  6 O 1.98-2.17
9 In 0.6156 0.5000 0.2202  3 O 2.16-2.29
10 In 0.1156 0.0000 0.2798  3 O 2.16-2.29
11 In 0.8844 0.5000 0.7202  3 O 2.16-2.29
12 In 0.3844 0.0000 0.7798  3 O 2.16-2.29
13 O 0.2043 0.0000 0.0806  2 Hf 2.10, 1 In 2.29
14 O 0.9746 0.5000 0.1008  3 Hf 2.12-2.17
15 O 0.7469 0.0000 0.1761  1 Hf 1.98, 2 In 2.16
16 O 0.2469 0.5000 0.3239  1 Hf 1.98, 2 In 2.16
17 O 0.4746 0.0000 0.3992  3 Hf 2.12-2.17
18 O 0.7043 0.5000 0.4194  2 Hf 2.10, 1 In 2.29
19 O 0.2957 0.0000 0.5806  2 Hf 2.10, 1 In 2.29
20 O 0.5254 0.5000 0.6008  3 Hf 2.12-2.17
21 O 0.7531 0.0000 0.6761  1 Hf 1.98, 2 In 2.16
22 O 0.2531 0.5000 0.8239  1 Hf 1.98, 2 In 2.16
23 O 0.0254 0.0000 0.8992  3 Hf 2.12-2.17
24 O 0.7957 0.5000 0.9194  2 Hf 2.10, 1 In 2.29

Properties
For the final energy, the calculation gives -7.115 eV/atom. As for the space group: Pnma. The density comes out at 10.1 g cm⁻³.


Entry 17:
Compound: ZrAlCuHg
Source: OQMD via LeMat-Bulk
Functional: GGA-PBE
Structure: relaxed

Cell lengths 4.6702, 4.6702, 4.6702 Å; angles 60.00, 60.00, 60.00 degrees
Last column: nearest neighbours and their distance in Å.
Fractional coordinates of all 4 atoms:
1 Al 0.0000 0.0000 0.0000  4 Cu 2.86, 4 Hg 2.86
2 Cu 0.7500 0.7500 0.7500  4 Zr 2.86, 4 Al 2.86
3 Hg 0.2500 0.2500 0.2500  4 Zr 2.86, 4 Al 2.86
4 Zr 0.5000 0.5000 0.5000  4 Cu 2.86, 4 Hg 2.86

Properties
As for the space group: F-43m. The density comes out at 8.8 g cm⁻³. The energy relative to the lowest polymorph listed for this composition comes out at 0 meV per atom.


Entry 18:
Compound: LaAlPd
Source: OQMD via LeMat-Bulk
Functional: GGA-PBE
Structure: relaxed

Cell lengths 4.7496, 4.7496, 4.7496 Å; angles 60.00, 60.00, 60.00 degrees
Last column: nearest neighbours and their distance in Å.
Fractional coordinates of all 3 atoms:
1 Al 0.2500 0.2500 0.2500  4 Pd 2.91
2 La 0.7500 0.7500 0.7500  4 Pd 2.91
3 Pd 0.0000 0.0000 0.0000  4 Al 2.91, 4 La 2.91

Properties
For the final energy, the calculation gives -5.158 eV/atom. As for the space group: F-43m. The density comes out at 6.0 g cm⁻³.


Entry 19:
Compound: HfCu4Ag
Source: OQMD via LeMat-Bulk
Functional: GGA-PBE
Structure: relaxed

Cell lengths 4.9181, 4.9181, 4.9181 Å; angles 60.00, 60.00, 60.00 degrees
Last column: nearest neighbours and their distance in Å.
Fractional coordinates of all 6 atoms:
1 Ag 0.0000 0.0000 0.0000  12 Cu 2.88, 4 Hf 3.01
2 Cu 0.6252 0.6252 0.1243  6 Cu 2.45-2.46
3 Cu 0.6252 0.1243 0.6252  6 Cu 2.45-2.46
4 Cu 0.1243 0.6252 0.6252  6 Cu 2.45-2.46
5 Cu 0.6252 0.6252 0.6252  6 Cu 2.45-2.46
6 Hf 0.2500 0.2500 0.2500  12 Cu 2.88, 4 Ag 3.01

Properties
The energy of formation is -0.1426 eV per atom. As for the space group: F-43m. The density comes out at 10.7 g cm⁻³.


Entry 20:
Compound: GdMgZn
Source: OQMD via LeMat-Bulk
Functional: GGA-PBE
Structure: relaxed

Cell lengths 4.9491, 4.9491, 6.4068 Å; angles 90.00, 90.00, 120.00 degrees
Last column: nearest neighbours and their distance in Å.
Fractional coordinates of all 6 atoms:
1 Gd 0.0000 0.0000 0.0334  4 Zn 3.00-3.02, 3 Mg 3.05
2 Gd 0.3333 0.6667 0.3844  6 Zn 3.07-3.16, 2 Mg 3.09-3.32
3 Mg 0.6667 0.3333 0.6851  5 Zn 2.96-3.28, 3 Mg 3.08
4 Mg 0.3333 0.6667 0.8661  5 Gd 3.05-3.32, 3 Mg 3.08
5 Zn 0.6667 0.3333 0.1739  6 Gd 3.00-3.16, 2 Mg 3.13-3.28
6 Zn 0.0000 0.0000 0.5615  3 Mg 2.96, 4 Gd 3.02-3.07

Properties
For the final energy, the calculation gives -2.713 eV/atom. As for the space group: P3m1. The density comes out at 6.0 g cm⁻³.